Here is a relaxed Pm4OsPb2 crystal from the Alexandria database. Energies are from PBE.

abc: 5.3211 5.3211 16.7373
angles: 90.00 90.00 90.00
Space group I4/mmm (No. 139)
One atom of each set of equivalent atoms:
Pm 0.0000 0.0000 0.1728
Pm 0.0000 0.5000 0.0000
Os 0.0000 0.0000 0.0000
Pb 0.0000 0.0000 0.3629

Calculated values
The value obtained for the total magnetic moment is 0.0 μB per cell. Its crystal system is tetragonal. As for the formation energy from the elements: -0.169 eV per atom. The value obtained for the density of states at the Fermi level is 14.245 states/eV/cell.

***

Here is a relaxed Tb2Sm7Dy2 crystal from the Alexandria database. Energies are from PBE.

abc: 6.6347 12.0888 9.5387
angles: 90.00 90.00 90.00
Space group Cmmm (No. 65)
One atom of each set of equivalent atoms:
Tb 0.0000 0.2313 0.0000
Sm 0.0000 0.0000 0.1802
Sm 0.0000 0.5000 0.0000
Sm 0.2500 0.2500 0.3169
Dy 0.2494 0.0000 0.5000

Calculated values
The energy above the most stable polymorph in this dataset is 184 meV per atom. The value obtained for the total magnetic moment is 0.0 μB per cell. Its crystal system is orthorhombic. As for the formation energy from the elements: 0.346 eV per atom. The value obtained for the density of states at the Fermi level is 35.236 states/eV/cell.

***

Here is a relaxed Li2Ca3Ag9 crystal from the Alexandria database. Energies are from PBE.

abc: 4.6215 9.8824 13.3624
angles: 90.00 90.00 90.00
Space group Immm (No. 71)
One atom of each set of equivalent atoms:
Li 0.0000 0.2030 0.0000
Ca 0.0000 0.0000 0.2021
Ca 0.0000 0.0000 0.5000
Ag 0.0000 0.2790 0.3779
Ag 0.0000 0.3600 0.1703
Ag 0.0000 0.5000 0.5000

Calculated values
The value obtained for the total magnetic moment is 0.0 μB per cell. Its crystal system is orthorhombic. As for the formation energy from the elements: -0.212 eV per atom. The value obtained for the density of states at the Fermi level is 11.449 states/eV/cell.

***

Here is a relaxed Ag2BiRuPb crystal from the Alexandria database. Energies are from PBE.

abc: 5.1793 5.1793 6.0795
angles: 90.00 90.00 90.00
Space group P4/mmm (No. 123)
One atom of each set of equivalent atoms:
Ag 0.0000 0.5000 0.0000
Bi 0.0000 0.0000 0.5000
Ru 0.5000 0.5000 0.5000
Pb 0.0000 0.0000 0.0000

Calculated values
The value obtained for the total magnetic moment is 2.9 μB per cell. Its crystal system is tetragonal. As for the formation energy from the elements: 1.495 eV per atom. The value obtained for the density of states at the Fermi level is 5.676 states/eV/cell.